# CePu2Ge2Rh2 (PBE, relaxed)
data_CePu2Ge2Rh2
_cell_length_a 8.900
_cell_length_b 8.900
_cell_length_c 8.900
_cell_angle_alpha 27.56
_cell_angle_beta 27.56
_cell_angle_gamma 27.56
_space_group_name_H-M_alt 'P 1'
_space_group_IT_number 1
loop_
_space_group_symop_operation_xyz
'x,y,z'
loop_
_atom_site_label
_atom_site_type_symbol
_atom_site_fract_x
_atom_site_fract_y
_atom_site_fract_z
_atom_site_occupancy
Ce1 Ce 0.000 0.000 0.000 1
Pu1 Pu 0.152 0.152 0.152 1
Pu2 Pu 0.848 0.848 0.848 1
Ge1 Ge 0.265 0.265 0.265 1
Ge2 Ge 0.735 0.735 0.735 1
Rh1 Rh 0.433 0.433 0.433 1
Rh2 Rh 0.567 0.567 0.567 1
# ΔE_f = -474.9 meV per atom
# final energy = -61.9 eV/cell

***

# LiNi2Cl (PBE, relaxed)
data_LiNi2Cl
_cell_length_a 6.167
_cell_length_b 6.167
_cell_length_c 3.231
_cell_angle_alpha 105.05
_cell_angle_beta 105.05
_cell_angle_gamma 29.93
_space_group_name_H-M_alt 'P 1'
_space_group_IT_number 1
loop_
_space_group_symop_operation_xyz
'x,y,z'
loop_
_atom_site_label
_atom_site_type_symbol
_atom_site_fract_x
_atom_site_fract_y
_atom_site_fract_z
_atom_site_occupancy
Li1 Li 0.000 0.000 0.000 1
Ni1 Ni 0.287 0.287 0.287 1
Ni2 Ni 0.713 0.713 0.713 1
Cl1 Cl 0.500 0.500 0.500 1
# formation energy without anion corrections = -0.19 eV/atom
# E above lowest polymorph = 12.6 meV per atom
# final energy = -16.1 eV/cell

***

# TiB2PtO (PBE, relaxed)
data_TiB2PtO
_cell_length_a 4.356
_cell_length_b 4.356
_cell_length_c 3.596
_cell_angle_alpha 90.00
_cell_angle_beta 90.00
_cell_angle_gamma 90.00
_space_group_name_H-M_alt 'P 1'
_space_group_IT_number 1
loop_
_space_group_symop_operation_xyz
'x,y,z'
loop_
_atom_site_label
_atom_site_type_symbol
_atom_site_fract_x
_atom_site_fract_y
_atom_site_fract_z
_atom_site_occupancy
Ti1 Ti 0.000 0.000 0.000 1
B1 B 0.000 0.500 0.000 1
B2 B 0.500 0.000 0.000 1
Pt1 Pt 0.500 0.500 0.500 1
O1 O 0.000 0.000 0.500 1
# formation energy without anion corrections = 0.67 eV/atom
# final energy = -28.9 eV/cell

***

# BPt (PBE, relaxed)
data_BPt
_cell_length_a 3.355
_cell_length_b 3.549
_cell_length_c 4.337
_cell_angle_alpha 91.45
_cell_angle_beta 105.70
_cell_angle_gamma 105.37
_space_group_name_H-M_alt 'P 1'
_space_group_IT_number 1
loop_
_space_group_symop_operation_xyz
'x,y,z'
loop_
_atom_site_label
_atom_site_type_symbol
_atom_site_fract_x
_atom_site_fract_y
_atom_site_fract_z
_atom_site_occupancy
B1 B 0.242 0.402 0.317 1
B2 B 0.758 0.598 0.683 1
Pt1 Pt 0.189 0.217 0.790 1
Pt2 Pt 0.811 0.783 0.210 1
# ΔE_f = -120.8 meV per atom
# final energy = -25.9 eV/cell

***

# Ga2Ge2Pd7 (PBE, relaxed)
data_Ga2Ge2Pd7
_cell_length_a 5.661
_cell_length_b 5.661
_cell_length_c 5.982
_cell_angle_alpha 96.60
_cell_angle_beta 96.60
_cell_angle_gamma 78.18
_space_group_name_H-M_alt 'P 1'
_space_group_IT_number 1
loop_
_space_group_symop_operation_xyz
'x,y,z'
loop_
_atom_site_label
_atom_site_type_symbol
_atom_site_fract_x
_atom_site_fract_y
_atom_site_fract_z
_atom_site_occupancy
Ga1 Ga 0.222 0.222 0.050 1
Ga2 Ga 0.778 0.778 0.950 1
Ge1 Ge 0.314 0.686 0.500 1
Ge2 Ge 0.686 0.314 0.500 1
Pd1 Pd 0.009 0.009 0.271 1
Pd2 Pd 0.058 0.474 0.724 1
Pd3 Pd 0.474 0.058 0.724 1
Pd4 Pd 0.500 0.500 0.000 1
Pd5 Pd 0.526 0.942 0.276 1
Pd6 Pd 0.942 0.526 0.276 1
Pd7 Pd 0.991 0.991 0.729 1
# ΔE_f = -368.7 meV per atom
# final energy = -55.7 eV/cell

***

# ZnPdCl2 (PBE, relaxed)
data_ZnPdCl2
_cell_length_a 8.241
_cell_length_b 8.241
_cell_length_c 8.241
_cell_angle_alpha 24.91
_cell_angle_beta 24.91
_cell_angle_gamma 24.91
_space_group_name_H-M_alt 'P 1'
_space_group_IT_number 1
loop_
_space_group_symop_operation_xyz
'x,y,z'
loop_
_atom_site_label
_atom_site_type_symbol
_atom_site_fract_x
_atom_site_fract_y
_atom_site_fract_z
_atom_site_occupancy
Zn1 Zn 0.000 0.000 0.000 1
Pd1 Pd 0.500 0.500 0.500 1
Cl1 Cl 0.095 0.095 0.095 1
Cl2 Cl 0.905 0.905 0.905 1
# formation energy without anion corrections = -0.07 eV/atom
# E above lowest polymorph = 253.1 meV per atom
# final energy = -10.4 eV/cell

***

# Li3La (PBE, relaxed)
data_Li3La
_cell_length_a 7.499
_cell_length_b 7.499
_cell_length_c 3.483
_cell_angle_alpha 90.00
_cell_angle_beta 90.00
_cell_angle_gamma 89.86
_space_group_name_H-M_alt 'P 1'
_space_group_IT_number 1
loop_
_space_group_symop_operation_xyz
'x,y,z'
loop_
_atom_site_label
_atom_site_type_symbol
_atom_site_fract_x
_atom_site_fract_y
_atom_site_fract_z
_atom_site_occupancy
Li1 Li 0.102 0.898 0.750 1
Li2 Li 0.103 0.342 0.750 1
Li3 Li 0.342 0.103 0.250 1
Li4 Li 0.658 0.897 0.750 1
Li5 Li 0.897 0.658 0.250 1
Li6 Li 0.898 0.102 0.250 1
La1 La 0.369 0.631 0.250 1
La2 La 0.631 0.369 0.750 1
# E above lowest polymorph = 44.7 meV per atom
# ΔE_f = 79.0 meV per atom
# final energy = -20.7 eV/cell

***

# Tb2HoNpN4 (PBE, relaxed)
data_Tb2HoNpN4
_cell_length_a 5.983
_cell_length_b 3.469
_cell_length_c 5.989
_cell_angle_alpha 90.00
_cell_angle_beta 108.98
_cell_angle_gamma 90.00
_space_group_name_H-M_alt 'P 1'
_space_group_IT_number 1
loop_
_space_group_symop_operation_xyz
'x,y,z'
loop_
_atom_site_label
_atom_site_type_symbol
_atom_site_fract_x
_atom_site_fract_y
_atom_site_fract_z
_atom_site_occupancy
Tb1 Tb 0.000 0.000 0.000 1
Tb2 Tb 0.500 0.500 0.000 1
Ho1 Ho 0.000 0.500 0.500 1
Np1 Np 0.500 0.000 0.500 1
N1 N 0.258 0.500 0.261 1
N2 N 0.259 0.000 0.736 1
N3 N 0.741 0.000 0.264 1
N4 N 0.742 0.500 0.739 1
# formation energy without anion corrections = -1.55 eV/atom
# final energy = -72.5 eV/cell

***

Number 1: N(E_F) 11.45 states/eV per cell. Number 2: N(E_F) 5.19 states/eV per cell. Number 3: N(E_F) 2.38 states/eV per cell. Number 4: N(E_F) 0.84 states/eV per cell. Number 5: N(E_F) 3.43 states/eV per cell. Number 6: N(E_F) 2.98 states/eV per cell. Number 7: N(E_F) 4.81 states/eV per cell. Number 8: N(E_F) 5.94 states/eV per cell.